{
  "formula": "K3Cu2Br4Cl2",
  "functional": "GGA-PBE",
  "state": "relaxed",
  "space_group": "I4/mmm (139)",
  "dos_at_fermi_per_ev_fu": 7.1,
  "lattice": [[-2.488, 2.488, 13.224], [2.488, -2.488, 13.224], [2.488, 2.488, -13.224]],
  "species": ["K", "K", "K", "Cu", "Cu", "Br", "Br", "Br", "Br", "Cl", "Cl"],
  "fractional_positions": [[0.000, 0.000, 0.000], [0.183, 0.183, 0.000], [0.817, 0.817, 0.000], [0.392, 0.392, 0.000], [0.608, 0.608, 0.000], [0.086, 0.586, 0.500], [0.414, 0.914, 0.500], [0.586, 0.086, 0.500], [0.914, 0.414, 0.500], [0.302, 0.302, 0.000], [0.698, 0.698, 0.000]]
}


{
  "formula": "K3Cu2Br2Cl5",
  "functional": "GGA-PBE",
  "state": "relaxed",
  "space_group": "I4/mmm (139)",
  "dos_at_fermi_per_ev_fu": 3.6,
  "lattice": [[-2.453, 2.453, 12.941], [2.453, -2.453, 12.941], [2.453, 2.453, -12.941]],
  "species": ["K", "K", "K", "Cu", "Cu", "Br", "Br", "Cl", "Cl", "Cl", "Cl", "Cl"],
  "fractional_positions": [[0.000, 0.000, 0.000], [0.176, 0.176, 0.000], [0.824, 0.824, 0.000], [0.407, 0.407, 0.000], [0.593, 0.593, 0.000], [0.308, 0.308, 0.000], [0.692, 0.692, 0.000], [0.091, 0.591, 0.500], [0.409, 0.909, 0.500], [0.500, 0.500, 0.000], [0.591, 0.091, 0.500], [0.909, 0.409, 0.500]]
}


{
  "formula": "K2CuBr2Cl2",
  "functional": "GGA-PBE",
  "state": "relaxed",
  "space_group": "Fmmm (69)",
  "dos_at_fermi_per_ev_fu": 1.0,
  "lattice": [[0.000, 4.955, 5.452], [4.258, 0.000, 5.452], [4.258, 4.955, 0.000]],
  "species": ["K", "K", "Cu", "Br", "Br", "Cl", "Cl"],
  "fractional_positions": [[0.250, 0.250, 0.250], [0.750, 0.750, 0.750], [0.000, 0.000, 0.000], [0.249, 0.751, 0.249], [0.751, 0.249, 0.751], [0.208, 0.208, 0.792], [0.792, 0.792, 0.208]]
}


{
  "formula": "K2CuBrCl2",
  "functional": "GGA-PBE",
  "state": "relaxed",
  "space_group": "Cmc2_1 (36)",
  "lattice": [[6.915, -4.445, 0.000], [6.915, 4.445, 0.000], [0.000, 0.000, 6.548]],
  "species": ["K", "K", "K", "K", "Cu", "Cu", "Br", "Br", "Cl", "Cl", "Cl", "Cl"],
  "fractional_positions": [[0.010, 0.669, 0.500], [0.331, 0.990, 0.500], [0.669, 0.010, 0.000], [0.990, 0.331, 0.000], [0.324, 0.676, 0.948], [0.676, 0.324, 0.448], [0.415, 0.585, 0.591], [0.585, 0.415, 0.091], [0.037, 0.684, 0.010], [0.316, 0.963, 0.010], [0.684, 0.037, 0.510], [0.963, 0.316, 0.510]]
}


{
  "formula": "K2CuBr2Cl",
  "functional": "GGA-PBE",
  "state": "relaxed",
  "space_group": "Cmc2_1 (36)",
  "lattice": [[7.490, -4.244, 0.000], [7.490, 4.244, 0.000], [0.000, 0.000, 6.729]],
  "species": ["K", "K", "K", "K", "Cu", "Cu", "Br", "Br", "Br", "Br", "Cl", "Cl"],
  "fractional_positions": [[0.053, 0.647, 0.500], [0.353, 0.947, 0.500], [0.647, 0.053, 0.000], [0.947, 0.353, 0.000], [0.336, 0.664, 0.051], [0.664, 0.336, 0.551], [0.043, 0.677, 0.994], [0.323, 0.957, 0.994], [0.677, 0.043, 0.494], [0.957, 0.323, 0.494], [0.422, 0.578, 0.383], [0.578, 0.422, 0.883]]
}


{
  "formula": "La4CuBr2Cl",
  "functional": "GGA-PBE",
  "state": "relaxed",
  "space_group": "P2/m (10)",
  "dos_at_fermi_per_ev_fu": 5.5,
  "lattice": [[7.038, 0.000, 0.000], [0.000, 4.130, 0.000], [-2.579, 0.000, 7.795]],
  "species": ["La", "La", "La", "La", "Cu", "Br", "Br", "Cl"],
  "fractional_positions": [[0.232, 0.000, 0.220], [0.258, 0.500, 0.784], [0.742, 0.500, 0.216], [0.768, 0.000, 0.780], [0.500, 0.000, 0.000], [0.000, 0.000, 0.500], [0.500, 0.500, 0.500], [0.000, 0.500, 0.000]]
}


{
  "formula": "Li2CuBrCl",
  "functional": "GGA-PBE",
  "state": "relaxed",
  "space_group": "P4/mmm (123)",
  "dos_at_fermi_per_ev_fu": 1.8,
  "lattice": [[4.335, 0.000, 0.000], [0.000, 4.335, 0.000], [0.000, 0.000, 6.687]],
  "species": ["Li", "Li", "Cu", "Br", "Cl"],
  "fractional_positions": [[0.000, 0.500, 0.000], [0.500, 0.000, 0.000], [0.000, 0.000, 0.500], [0.500, 0.500, 0.500], [0.500, 0.500, 0.000]]
}


{
  "formula": "LiCuBrCl",
  "functional": "GGA-PBE",
  "state": "relaxed",
  "space_group": "Cm (8)",
  "lattice": [[6.948, 0.000, 0.000], [0.000, 4.009, 0.000], [-2.328, 0.000, 6.431]],
  "species": ["Li", "Li", "Cu", "Cu", "Br", "Br", "Cl", "Cl"],
  "fractional_positions": [[0.000, 0.000, 0.000], [0.500, 0.500, 0.000], [0.490, 0.000, 0.463], [0.990, 0.500, 0.463], [0.368, 0.500, 0.596], [0.868, 0.000, 0.596], [0.366, 0.000, 0.099], [0.866, 0.500, 0.099]]
}


{
  "formula": "NaCuBr2Cl",
  "functional": "GGA-PBE",
  "state": "relaxed",
  "space_group": "P4/mmm (123)",
  "e_above_lowest_polymorph_mev_per_atom": 0,
  "dos_at_fermi_per_ev_fu": 1.7,
  "lattice": [[5.163, 0.000, 0.000], [0.000, 5.163, 0.000], [0.000, 0.000, 4.689]],
  "species": ["Na", "Cu", "Br", "Br", "Cl"],
  "fractional_positions": [[0.000, 0.000, 0.000], [0.500, 0.500, 0.500], [0.000, 0.500, 0.500], [0.500, 0.000, 0.500], [0.500, 0.500, 0.000]]
}


{
  "formula": "Na2CuBr2Cl2",
  "functional": "GGA-PBE",
  "state": "relaxed",
  "space_group": "P4/mmm (123)",
  "e_above_lowest_polymorph_mev_per_atom": 70,
  "dos_at_fermi_per_ev_fu": 7.9,
  "lattice": [[5.281, 0.000, 0.000], [0.000, 5.281, 0.000], [0.000, 0.000, 6.041]],
  "species": ["Na", "Na", "Cu", "Br", "Br", "Cl", "Cl"],
  "fractional_positions": [[0.000, 0.500, 0.000], [0.500, 0.000, 0.000], [0.000, 0.000, 0.500], [0.000, 0.500, 0.500], [0.500, 0.000, 0.500], [0.000, 0.000, 0.000], [0.500, 0.500, 0.000]]
}


{
  "formula": "NaCuBr2Cl",
  "functional": "GGA-PBE",
  "state": "relaxed",
  "space_group": "P4/mmm (123)",
  "e_above_lowest_polymorph_mev_per_atom": 995,
  "dos_at_fermi_per_ev_fu": 4.3,
  "lattice": [[5.337, 0.000, 0.000], [0.000, 5.337, 0.000], [0.000, 0.000, 6.828]],
  "species": ["Na", "Cu", "Br", "Br", "Cl"],
  "fractional_positions": [[0.000, 0.000, 0.000], [0.000, 0.000, 0.500], [0.000, 0.500, 0.000], [0.500, 0.000, 0.000], [0.500, 0.500, 0.500]]
}


{
  "formula": "Na2CuBrCl6",
  "functional": "GGA-PBE",
  "state": "relaxed",
  "space_group": "P2_1/c (14)",
  "lattice": [[7.269, 0.000, 0.000], [0.000, 7.180, 0.000], [-5.378, 0.000, 10.096]],
  "species": ["Na", "Na", "Na", "Na", "Cu", "Cu", "Br", "Br", "Cl", "Cl", "Cl", "Cl", "Cl", "Cl", "Cl", "Cl", "Cl", "Cl", "Cl", "Cl"],
  "fractional_positions": [[0.187, 0.081, 0.210], [0.187, 0.419, 0.710], [0.813, 0.581, 0.290], [0.813, 0.919, 0.790], [0.500, 0.000, 0.000], [0.500, 0.500, 0.500], [0.000, 0.000, 0.500], [0.000, 0.500, 0.000], [0.115, 0.214, 0.945], [0.115, 0.286, 0.445], [0.261, 0.693, 0.362], [0.261, 0.807, 0.862], [0.487, 0.639, 0.668], [0.487, 0.861, 0.168], [0.513, 0.139, 0.832], [0.513, 0.361, 0.332], [0.739, 0.193, 0.138], [0.739, 0.307, 0.638], [0.885, 0.714, 0.555], [0.885, 0.786, 0.055]]
}


Computed values of energy relative to the elements, uncorrected (unit: eV per atom) for the preceding records, in sequence: -1.146 -1.166 -1.240 -1.323 -1.270 -1.087 -0.379 -1.014 -0.759 -0.966 0.236 -0.823.